Entry 1:
The following is a DFT calculation (PBE-GGA) of a relaxed CdHg3I crystal.

Cell: 5.636 5.636 5.636 Å, 90.00 90.00 90.00°
Space group Pm-3m (No. 221)
Unique sites:
Cd (0.000, 0.000, 0.000) x1
Hg (0.000, 0.000, 0.500) x3
I (0.500, 0.500, 0.500) x1

Results
energy relative to the lowest polymorph listed for this composition: 0 meV per atom
formation energy (no corrections): -0.046 eV per atom



Entry 2:
The following is a DFT calculation (PBE-GGA) of a relaxed CdHgI2 crystal.

Cell: 4.2950 4.2950 23.6736 Å, 90.00 90.00 120.00°
Space group P6_3/mmc (No. 194)
Unique sites:
Cd (0.0000, 0.0000, 0.0000) x2
Hg (0.3333, 0.6667, 0.2500) x2
I (0.3333, 0.6667, 0.0733) x4

Results
energy relative to the lowest polymorph listed for this composition: 4 meV per atom
formation energy (no corrections): -0.397 eV per atom



Entry 3:
The following is a DFT calculation (PBE-GGA) of a relaxed CdHg2I crystal.

Cell: 4.2984 4.2984 23.7720 Å, 90.00 90.00 120.00°
Space group R3m (No. 160, hexagonal axes)
Unique sites:
Cd (0.0000, 0.0000, 0.0000) x3
Hg (0.0000, 0.0000, 0.4055) x3
Hg (0.0000, 0.0000, 0.5921) x3
I (0.0000, 0.0000, 0.8295) x3

Results
energy relative to the lowest polymorph listed for this composition: 0 meV per atom
formation energy (no corrections): -0.097 eV per atom



Entry 4:
The following is a DFT calculation (PBE-GGA) of a relaxed CdHg2I crystal.

Cell: 3.3862 3.3862 37.8168 Å, 90.00 90.00 120.00°
Space group R-3m (No. 166, hexagonal axes)
Unique sites:
Cd (0.0000, 0.0000, 0.0000) x3
Hg (0.0000, 0.0000, 0.0813) x6
I (0.0000, 0.0000, 0.5000) x3

Results
energy relative to the lowest polymorph listed for this composition: 205 meV per atom
formation energy (no corrections): 0.109 eV per atom



Entry 5:
The following is a DFT calculation (PBE-GGA) of a relaxed CdHgI2 crystal.

Cell: 7.949 7.949 7.949 Å, 90.00 90.00 90.00°
Space group Fm-3m (No. 225)
Unique sites:
Cd (0.000, 0.000, 0.000) x4
Hg (0.000, 0.000, 0.500) x4
I (0.250, 0.250, 0.250) x8

Results
energy relative to the lowest polymorph listed for this composition: 346 meV per atom
formation energy (no corrections): -0.055 eV per atom



Entry 6:
The following is a DFT calculation (PBE-GGA) of a relaxed CdHg6I crystal.

Cell: 7.591 11.496 6.052 Å, 90.00 111.48 90.00°
Space group C2/m (No. 12)
Unique sites:
Cd (0.000, 0.000, 0.000) x2
Hg (0.046, 0.500, 0.768) x4
Hg (0.194, 0.248, 0.232) x8
I (0.000, 0.000, 0.500) x2

Results
formation energy (no corrections): -0.035 eV per atom



Entry 7:
The following is a DFT calculation (PBE-GGA) of a relaxed CdHgI2 crystal.

Cell: 8.335 4.185 11.067 Å, 90.00 111.52 90.00°
Space group P2_1/m (No. 11)
Unique sites:
Cd (0.137, 0.250, 0.168) x2
Hg (0.320, 0.250, 0.693) x2
I (0.201, 0.750, 0.358) x2
I (0.228, 0.750, 0.997) x2

Results
energy relative to the lowest polymorph listed for this composition: 26 meV per atom
formation energy (no corrections): -0.375 eV per atom



Entry 8:
The following is a DFT calculation (PBE-GGA) of a relaxed CdHgI2 crystal.

Cell: 4.2977 4.2977 31.0423 Å, 90.00 90.00 120.00°
Space group R-3m (No. 166, hexagonal axes)
Unique sites:
Cd (0.0000, 0.0000, 0.0000) x3
Hg (0.0000, 0.0000, 0.5000) x3
I (0.0000, 0.0000, 0.2774) x6

Results
energy relative to the lowest polymorph listed for this composition: 0 meV per atom
formation energy (no corrections): -0.401 eV per atom



- What is the formation energy (no corrections) in the third record?
  -0.097 eV per atom



- Look up the formation energy (no corrections) of the eighth one.
  -0.401 eV per atom



- Among the records above, which one has the lowest formation energy (no corrections)?
  number 8



- Which value of formation energy (no corrections) does entry 8 give?
  -0.401 eV per atom